1.
# PrEr3Cl

PrEr3Cl after structural relaxation (GGA-PBE, Alexandria via LeMat-Bulk).

The space group is Pm-3m (No. 221) and the conventional cell measures 5.2787, 5.2787 and 5.2787 Å, with angles of 90.00, 90.00 and 90.00 degrees. The distinct sites, in fractional coordinates, are Pr at (0.0000, 0.0000, 0.0000), Er at (0.0000, 0.5000, 0.5000) and Cl at (0.5000, 0.5000, 0.5000).

For the uncorrected formation energy, the calculation gives -0.4295 eV per atom. As for the calculated volume: 29.4 Å³/atom.

=====

2.
# Pr2ErCl

Pr2ErCl after structural relaxation (GGA-PBE, Alexandria via LeMat-Bulk).

The space group is R-3m (No. 166, hexagonal axes) and the conventional cell measures 3.6794, 3.6794 and 31.2698 Å, with angles of 90.00, 90.00 and 120.00 degrees. The distinct sites, in fractional coordinates, are Pr at (0.0000, 0.0000, 0.2404), Er at (0.0000, 0.0000, 0.0000) and Cl at (0.0000, 0.0000, 0.5000).

For the uncorrected formation energy, the calculation gives -0.6626 eV per atom. As for the calculated volume: 30.6 Å³/atom.

=====

3.
# PrErS2Cl

PrErS2Cl after structural relaxation (GGA-PBE, Alexandria via LeMat-Bulk).

The space group is P4/nmm (No. 129, origin choice 2) and the conventional cell measures 4.0654, 4.0654 and 13.5556 Å, with angles of 90.00, 90.00 and 90.00 degrees. The distinct sites, in fractional coordinates, are Pr at (0.2500, 0.2500, 0.1560), Er at (0.2500, 0.2500, 0.5929), S at (0.2500, 0.2500, 0.3897), S at (0.2500, 0.2500, 0.7912) and Cl at (0.2500, 0.7500, 0.0000).

For the uncorrected formation energy, the calculation gives -1.9543 eV per atom. As for the calculated volume: 22.4 Å³/atom.